No. 1
# MnTc2As, optimized geometry, DFT GGA-PBE
data_MnTc2As
_cell_length_a 2.8491
_cell_length_b 2.8491
_cell_length_c 24.4122
_cell_angle_alpha 90.00
_cell_angle_beta 90.00
_cell_angle_gamma 120.00
_space_group_name_H-M_alt 'P 1'
_space_group_IT_number 1
loop_
_space_group_symop_operation_xyz
'x,y,z'
loop_
_atom_site_label
_atom_site_type_symbol
_atom_site_fract_x
_atom_site_fract_y
_atom_site_fract_z
Mn1 Mn 0.0000 0.0000 0.0000
Mn2 Mn 0.3333 0.6667 0.6667
Mn3 Mn 0.6667 0.3333 0.3333
Tc1 Tc 0.0000 0.0000 0.2516
Tc2 Tc 0.0000 0.0000 0.7484
Tc3 Tc 0.3333 0.6667 0.4151
Tc4 Tc 0.3333 0.6667 0.9182
Tc5 Tc 0.6667 0.3333 0.0818
Tc6 Tc 0.6667 0.3333 0.5849
As1 As 0.0000 0.0000 0.5000
As2 As 0.3333 0.6667 0.1667
As3 As 0.6667 0.3333 0.8333
# ΔH_f (0 K) (meV per atom): 167
# ρ (Mg/m³): 9.5
# Space group: No. 166

No. 2
# Mn2TcAs, optimized geometry, DFT GGA-PBE
data_Mn2TcAs
_cell_length_a 2.8588
_cell_length_b 2.8588
_cell_length_c 6.1520
_cell_angle_alpha 90.00
_cell_angle_beta 90.00
_cell_angle_gamma 90.00
_space_group_name_H-M_alt 'P 1'
_space_group_IT_number 1
loop_
_space_group_symop_operation_xyz
'x,y,z'
loop_
_atom_site_label
_atom_site_type_symbol
_atom_site_fract_x
_atom_site_fract_y
_atom_site_fract_z
Mn1 Mn 0.0000 0.0000 0.2333
Mn2 Mn 0.0000 0.0000 0.7667
Tc1 Tc 0.5000 0.5000 0.5000
As1 As 0.5000 0.5000 0.0000
# ΔH_f (0 K) (meV per atom): 80
# ρ (Mg/m³): 9.3
# Space group: No. 123

| no. | total moment (μB/cell) |
| --- | --- |
| 1 | 5.27 |
| 2 | 0.00 |